Computed, not measured: a relaxed structure of TbSnPt4 at the PBE-GGA level of DFT.

Values from the calculation:
Its formation energy is -0.767 eV/atom. Its space-group type is F-43m, No. 216. The value obtained for the total energy is -37.401 eV/cell. Its density of states at the Fermi level is 0.68 states/eV/atom. The value obtained for the size of the total moment is 0.00 Bohr magnetons per cell.

```
TbSnPt4
1.0
0.000 3.831 3.831
3.831 0.000 3.831
3.831 3.831 0.000
Tb Sn Pt
1 1 4
direct
0.000 0.000 0.000
0.750 0.750 0.750
0.375 0.375 0.375
0.375 0.375 0.875
0.375 0.875 0.375
0.875 0.375 0.375
```